(1)
First-principles (PBE) data for a relaxed structure of HfBePS2, as listed in the Alexandria database.

Unit cell a=4.307 b=4.307 c=4.285 alpha=90.00 beta=90.00 gamma=90.00
Fractional positions:
1 Be 0.000 0.000 0.000
2 S 0.500 0.000 0.000
3 S 0.000 0.500 0.000
4 P 0.000 0.000 0.500
5 Hf 0.500 0.500 0.500

Calculated values
Distance to the lowest polymorph of the same formula: 0 meV per atom
Raw formation energy: 3 meV per atom

(2)
First-principles (PBE) data for a relaxed structure of HfBeP2S, as listed in the Alexandria database.

Unit cell a=4.015 b=4.015 c=4.973 alpha=90.00 beta=90.00 gamma=90.00
Fractional positions:
1 P 0.000 0.500 0.000
2 Hf 0.500 0.500 0.500
3 S 0.000 0.000 0.500
4 Be 0.000 0.000 0.000
5 P 0.500 0.000 0.000

Calculated values
Distance to the lowest polymorph of the same formula: 0 meV per atom
Raw formation energy: 139 meV per atom

(3)
First-principles (PBE) data for a relaxed structure of HfBeP2S, as listed in the Alexandria database.

Unit cell a=5.013 b=5.013 c=4.821 alpha=90.00 beta=90.00 gamma=90.00
Fractional positions:
1 Be 0.500 0.500 0.500
2 P 0.500 0.000 0.000
3 S 0.000 0.000 0.500
4 Hf 0.000 0.000 0.000
5 P 0.000 0.500 0.000

Calculated values
Distance to the lowest polymorph of the same formula: 483 meV per atom
Raw formation energy: 621 meV per atom

(4)
First-principles (PBE) data for a relaxed structure of HfBeSb2P, as listed in the Alexandria database.

Unit cell a=5.190 b=4.809 c=5.190 alpha=90.00 beta=90.00 gamma=90.00
Fractional positions:
1 P 0.000 0.000 0.000
2 Be 0.500 0.500 0.500
3 Sb 0.500 0.000 0.000
4 Hf 0.000 0.500 0.000
5 Sb 0.000 0.000 0.500

Calculated values
Distance to the lowest polymorph of the same formula: 258 meV per atom
Raw formation energy: 858 meV per atom

(5)
First-principles (PBE) data for a relaxed structure of HfBeSb2P, as listed in the Alexandria database.

Unit cell a=4.613 b=5.011 c=4.613 alpha=90.00 beta=90.00 gamma=90.00
Fractional positions:
1 Sb 0.500 0.000 0.000
2 Be 0.000 0.000 0.000
3 Sb 0.000 0.000 0.500
4 Hf 0.000 0.500 0.000
5 P 0.500 0.500 0.500

Calculated values
Distance to the lowest polymorph of the same formula: 0 meV per atom
Raw formation energy: 600 meV per atom

(6)
First-principles (PBE) data for a relaxed structure of HfScBe2P, as listed in the Alexandria database.

Unit cell a=4.215 b=4.771 c=4.215 alpha=90.00 beta=90.00 gamma=90.00
Fractional positions:
1 Be 0.500 0.000 0.000
2 P 0.000 0.000 0.000
3 Hf 0.500 0.500 0.500
4 Be 0.000 0.000 0.500
5 Sc 0.000 0.500 0.000

Calculated values
Formation energy from the elements: 0.3703 eV/atom